No. 1
This record from the Alexandria database describes crystalline LuMgGaRh at its relaxed geometry. The functional is PBE-GGA.

Values from the calculation:
formation enthalpy at 0 K: -0.5575 eV/atom
SG: F-43m

The structure in POSCAR format:
```
LuMgGaRh
1.0
-3.4142 1.8960 2.6157
0.5505 0.4018 4.6507
0.6033 4.2397 1.9376
Mg Ga Rh Lu
1 1 1 1
direct
0.2500 0.2500 0.2500
0.0000 0.0000 0.0000
0.5000 0.5000 0.5000
0.7500 0.7500 0.7500
```

***

No. 2
This record from the Alexandria database describes crystalline SmLuMgGa at its relaxed geometry. The functional is PBE-GGA.

Values from the calculation:
formation enthalpy at 0 K: -0.3203 eV/atom
SG: F-43m

The structure in POSCAR format:
```
SmLuMgGa
1.0
5.1657 0.0000 0.0000
2.5829 4.4737 0.0000
2.5829 1.4912 4.2178
Lu Sm Mg Ga
1 1 1 1
direct
0.0000 0.0000 0.0000
0.5000 0.5000 0.5000
0.7500 0.7500 0.7500
0.2500 0.2500 0.2500
```

***

No. 3
This record from the Alexandria database describes crystalline SrLuMgGa at its relaxed geometry. The functional is PBE-GGA.

Values from the calculation:
formation enthalpy at 0 K: -0.1726 eV/atom
SG: F-43m

The structure in POSCAR format:
```
SrLuMgGa
1.0
5.3576 0.0000 0.0000
2.6788 4.6399 0.0000
2.6788 1.5466 4.3745
Lu Ga Sr Mg
1 1 1 1
direct
0.0000 0.0000 0.0000
0.2500 0.2500 0.2500
0.5000 0.5000 0.5000
0.7500 0.7500 0.7500
```

***

No. 4
This record from the Alexandria database describes crystalline LuThMgGa at its relaxed geometry. The functional is PBE-GGA.

Values from the calculation:
formation enthalpy at 0 K: -0.2145 eV/atom
SG: F-43m

The structure in POSCAR format:
```
LuThMgGa
1.0
5.2009 0.0000 0.0000
2.6005 4.5041 0.0000
2.6005 1.5014 4.2465
Ga Mg Lu Th
1 1 1 1
direct
0.2500 0.2500 0.2500
0.7500 0.7500 0.7500
0.5000 0.5000 0.5000
0.0000 0.0000 0.0000
```

***

No. 5
This record from the Alexandria database describes crystalline LuMgZnGa at its relaxed geometry. The functional is PBE-GGA.

Values from the calculation:
formation enthalpy at 0 K: -0.3634 eV/atom
SG: F-43m

The structure in POSCAR format:
```
LuMgZnGa
1.0
4.8081 0.0000 0.0000
2.4041 4.1640 0.0000
2.4041 1.3880 3.9258
Mg Zn Lu Ga
1 1 1 1
direct
0.0000 0.0000 0.0000
0.7500 0.7500 0.7500
0.5000 0.5000 0.5000
0.2500 0.2500 0.2500
```

***

No. 6
This record from the Alexandria database describes crystalline LuMgZrGa at its relaxed geometry. The functional is PBE-GGA.

Values from the calculation:
formation enthalpy at 0 K: -0.2185 eV/atom
SG: F-43m

The structure in POSCAR format:
```
LuMgZrGa
1.0
4.9397 0.0000 0.0000
2.4699 4.2779 0.0000
2.4699 1.4260 4.0333
Lu Ga Mg Zr
1 1 1 1
direct
0.2500 0.2500 0.2500
0.5000 0.5000 0.5000
0.0000 0.0000 0.0000
0.7500 0.7500 0.7500
```

***

No. 7
This record from the Alexandria database describes crystalline LuMn4Ga at its relaxed geometry. The functional is PBE-GGA.

Values from the calculation:
formation enthalpy at 0 K: 0.0218 eV/atom
SG: F-43m

The structure in POSCAR format:
```
LuMn4Ga
1.0
4.8682 0.0000 0.0000
2.4341 4.2160 0.0000
2.4341 1.4053 3.9749
Mn Lu Ga
4 1 1
direct
0.6263 0.6263 0.1211
0.1211 0.6263 0.6263
0.6263 0.6263 0.6263
0.6263 0.1211 0.6263
0.2500 0.2500 0.2500
0.0000 0.0000 0.0000
```

***

No. 8
This record from the Alexandria database describes crystalline Lu2MnGa at its relaxed geometry. The functional is PBE-GGA.

Values from the calculation:
formation enthalpy at 0 K: -0.2399 eV/atom
SG: P4/mmm
energy above the lowest structure with this stoichiometry: 0 meV per atom

The structure in POSCAR format:
```
Lu2MnGa
1.0
-0.5342 3.1872 1.2292
0.2779 -1.1995 3.2309
6.9064 1.2130 -0.1438
Ga Lu Mn
1 2 1
direct
0.5000 0.5000 0.5000
0.0000 0.0000 0.7582
0.0000 0.0000 0.2418
0.5000 0.5000 0.0000
```

***

> formation enthalpy at 0 K of number 7 (LuMn4Ga)?

0.0218 eV/atom